# SrSiAg2 PBE optimized geometry
# - energy relative to the elements, uncorrected (meV per atom) = 24
# - total magnetization (μB per formula unit) = 0.00
# - total energy (eV per cell) = -25.4
# - DOS at the Fermi energy (states/eV/f.u.) = 2.0
data_SrSiAg2
_chemical_formula_sum 'Sr2 Si2 Ag4'
_space_group_name_H-M_alt 'I -4 m 2'
_space_group_IT_number 119
_space_group_name_Hall 'I -4 -2'
_cell_length_a 4.988
_cell_length_b 4.988
_cell_length_c 7.094
_cell_angle_alpha 90.00
_cell_angle_beta 90.00
_cell_angle_gamma 90.00
loop_
_atom_site_label
_atom_site_fract_x
_atom_site_fract_y
_atom_site_fract_z
Sr1 0.000 0.000 0.000
Si1 0.000 0.500 0.250
Ag1 0.000 0.000 0.500
Ag2 0.000 0.500 0.750